<w>
## Sr2Hf2Sc (GGA-PBE)

Data for crystalline Sr2Hf2Sc at its relaxed geometry.

The structure belongs to space group I4/mmm (No. 139); the cell edges are 3.959, 3.959 and 22.830 Å and the angles 90.00°, 90.00° and 90.00°. The distinct sites, in fractional coordinates, are Sr at (0.000, 0.000, 0.112), Hf at (0.000, 0.500, 0.250) and Sc at (0.000, 0.000, 0.500).

Its mass density is 5.36 g/cm3. The value obtained for the density of states at the Fermi level is 6.02 states/eV/f.u.

<x>
## Sr2Hf2Sc (GGA-PBE)

Data for crystalline Sr2Hf2Sc at its relaxed geometry.

The structure belongs to space group P4/mbm (No. 127); the cell edges are 9.309, 9.309 and 3.464 Å and the angles 90.00°, 90.00° and 90.00°. The distinct sites, in fractional coordinates, are Sr at (0.129, 0.371, 0.000), Hf at (0.172, 0.672, 0.500) and Sc at (0.000, 0.000, 0.000).

Its mass density is 6.38 g/cm3. The value obtained for the density of states at the Fermi level is 4.61 states/eV/f.u.

So which one is most stable? That would be <w>, about 226 meV/atom below the next structure.

<w>
## HfSc2Ta (GGA-PBE)

Data for crystalline HfSc2Ta at its relaxed geometry.

The structure belongs to space group I-42d (No. 122); the cell edges are 7.815, 7.815 and 5.847 Å and the angles 90.00°, 90.00° and 90.00°. The distinct sites, in fractional coordinates, are Hf at (0.000, 0.000, 0.000), Sc at (0.237, 0.250, 0.625) and Ta at (0.000, 0.000, 0.500).

Its mass density is 8.36 g/cm3. The value obtained for the density of states at the Fermi level is 5.96 states/eV/f.u.

<x>
## HfSc2Ta (GGA-PBE)

Data for crystalline HfSc2Ta at its relaxed geometry.

The structure belongs to space group R-3m (No. 166, hexagonal axes); the cell edges are 3.0951, 3.0951 and 31.1929 Å and the angles 90.00°, 90.00° and 120.00°. The distinct sites, in fractional coordinates, are Hf at (0.0000, 0.0000, 0.0000), Sc at (0.0000, 0.0000, 0.2464) and Ta at (0.0000, 0.0000, 0.5000).

Its mass density is 8.65 g/cm3. The value obtained for the density of states at the Fermi level is 5.39 states/eV/f.u.

<y>
## HfSc2Ta (GGA-PBE)

Data for crystalline HfSc2Ta at its relaxed geometry.

The structure belongs to space group R3m (No. 160, hexagonal axes); the cell edges are 3.1112, 3.1112 and 30.9131 Å and the angles 90.00°, 90.00° and 120.00°. The distinct sites, in fractional coordinates, are Hf at (0.0000, 0.0000, 0.0000), Sc at (0.0000, 0.0000, 0.4204), Sc at (0.0000, 0.0000, 0.5813) and Ta at (0.0000, 0.0000, 0.8342).

Its mass density is 8.64 g/cm3. The value obtained for the density of states at the Fermi level is 5.57 states/eV/f.u.

<z>
## HfSc2Ta (GGA-PBE)

Data for crystalline HfSc2Ta at its relaxed geometry.

The structure belongs to space group Fm-3m (No. 225); the cell edges are 6.987, 6.987 and 6.987 Å and the angles 90.00°, 90.00° and 90.00°. The distinct sites, in fractional coordinates, are Hf at (0.000, 0.000, 0.000), Sc at (0.250, 0.250, 0.250) and Ta at (0.000, 0.000, 0.500).

Its mass density is 8.75 g/cm3. The value obtained for the density of states at the Fermi level is 6.02 states/eV/f.u.

So which one is most stable? That would be <y>, about 11 meV/atom below the next structure.

<w>
## HfScTa (GGA-PBE)

Data for crystalline HfScTa at its relaxed geometry.

The structure belongs to space group R3m (No. 160, hexagonal axes); the cell edges are 3.0874, 3.0874 and 23.1284 Å and the angles 90.00°, 90.00° and 120.00°. The distinct sites, in fractional coordinates, are Hf at (0.0000, 0.0000, 0.0000), Sc at (0.0000, 0.0000, 0.2139) and Ta at (0.0000, 0.0000, 0.4410).

Its mass density is 10.55 g/cm3. The value obtained for the density of states at the Fermi level is 2.82 states/eV/f.u.

<x>
## HfScTa (GGA-PBE)

Data for crystalline HfScTa at its relaxed geometry.

The structure belongs to space group I4mm (No. 107); the cell edges are 2.996, 2.996 and 14.335 Å and the angles 90.00°, 90.00° and 90.00°. The distinct sites, in fractional coordinates, are Hf at (0.000, 0.000, 0.000), Sc at (0.000, 0.000, 0.309) and Ta at (0.000, 0.000, 0.652).

Its mass density is 10.44 g/cm3. The value obtained for the density of states at the Fermi level is 3.16 states/eV/f.u.

<y>
## HfScTa (GGA-PBE)

Data for crystalline HfScTa at its relaxed geometry.

The structure belongs to space group P-6m2 (No. 187); the cell edges are 4.8982, 4.8982 and 3.0114 Å and the angles 90.00°, 90.00° and 120.00°. The distinct sites, in fractional coordinates, are Hf at (0.0000, 0.0000, 0.0000), Sc at (0.6667, 0.3333, 0.5000) and Ta at (0.3333, 0.6667, 0.5000).

Its mass density is 10.73 g/cm3. The value obtained for the density of states at the Fermi level is 2.40 states/eV/f.u.

So which one is most stable? That would be <y>, about 43 meV/atom below the next structure.

<w>
## HfScTa2 (GGA-PBE)

Data for crystalline HfScTa2 at its relaxed geometry.

The structure belongs to space group Fm-3m (No. 225); the cell edges are 6.843, 6.843 and 6.843 Å and the angles 90.00°, 90.00° and 90.00°. The distinct sites, in fractional coordinates, are Hf at (0.000, 0.000, 0.000), Sc at (0.000, 0.000, 0.500) and Ta at (0.250, 0.250, 0.250).

Its mass density is 12.13 g/cm3. The value obtained for the density of states at the Fermi level is 8.43 states/eV/f.u.

<x>
## HfScTa2 (GGA-PBE)

Data for crystalline HfScTa2 at its relaxed geometry.

The structure belongs to space group I-42d (No. 122); the cell edges are 7.643, 7.643 and 5.749 Å and the angles 90.00°, 90.00° and 90.00°. The distinct sites, in fractional coordinates, are Hf at (0.000, 0.000, 0.000), Sc at (0.000, 0.000, 0.500) and Ta at (0.248, 0.250, 0.625).

Its mass density is 11.58 g/cm3. The value obtained for the density of states at the Fermi level is 5.32 states/eV/f.u.

<y>
## HfScTa2 (GGA-PBE)

Data for crystalline HfScTa2 at its relaxed geometry.

The structure belongs to space group R-3m (No. 166, hexagonal axes); the cell edges are 3.0553, 3.0553 and 30.2290 Å and the angles 90.00°, 90.00° and 120.00°. The distinct sites, in fractional coordinates, are Hf at (0.0000, 0.0000, 0.0000), Sc at (0.0000, 0.0000, 0.5000) and Ta at (0.0000, 0.0000, 0.2509).

Its mass density is 11.93 g/cm3. The value obtained for the density of states at the Fermi level is 5.28 states/eV/f.u.

So which one is most stable? That would be <y>, about 95 meV/atom below the next structure.